No. 1
{"formula": "Sr2SnSe3", "functional": "PBE", "state": "relaxed", "lattice_angstrom": [[6.2435, 0.0000, 0.0000], [0.0000, 8.8237, 0.0021], [-3.1217, -2.2077, 6.6365]], "species": ["Sr", "Sr", "Sr", "Sr", "Sn", "Sn", "Se", "Se", "Se", "Se", "Se", "Se"], "fractional_positions": [[0.6668, 0.5831, 0.3324], [0.6655, 0.0831, 0.3324], [0.3345, 0.9169, 0.6676], [0.3332, 0.4169, 0.6676], [0.9867, 0.7500, 0.0000], [0.0133, 0.2500, 0.0000], [0.4734, 0.2500, 0.0000], [0.5266, 0.7500, 0.0000], [0.1640, 0.0823, 0.3289], [0.8351, 0.4177, 0.6711], [0.1649, 0.5823, 0.3289], [0.8360, 0.9177, 0.6711]], "volume_a3_per_fu": 182.8, "dos_ef_per_ev_cell": 0.0, "e_tot_ha_per_atom": -0.165, "raw_formation_energy_ev_per_atom": -1.51, "m_tot_mub_per_fu": 0.00}



No. 2
{"formula": "La3Tb4Sm3", "functional": "PBE", "state": "relaxed", "lattice_angstrom": [[3.7161, 0.0000, 0.0000], [0.0000, 9.7101, -0.0356], [0.0000, 0.0498, 9.7100]], "species": ["La", "La", "La", "Tb", "Tb", "Tb", "Tb", "Sm", "Sm", "Sm"], "fractional_positions": [[0.0000, 0.5031, 0.0010], [0.0000, 0.9990, 0.4969], [0.5000, 0.1743, 0.8257], [0.0000, 0.6235, 0.3765], [0.0000, 0.3790, 0.6210], [0.0000, 0.8733, 0.8794], [0.0000, 0.1206, 0.1267], [0.5000, 0.8254, 0.1746], [0.5000, 0.3273, 0.3256], [0.5000, 0.6744, 0.6727]], "volume_a3_per_fu": 350.4, "delta_e_f_ev_per_fu": 0.88, "dos_ef_per_ev_cell": 12.4, "e_tot_ha_per_atom": -0.171, "m_tot_mub_per_fu": 0.26}



No. 3
{"formula": "TbHo2Se4", "functional": "PBE", "state": "relaxed", "lattice_angstrom": [[3.9430, 0.0000, -1.0783], [-0.6743, 6.6321, -2.4656], [0.0480, -1.0357, 7.9236]], "species": ["Tb", "Ho", "Ho", "Se", "Se", "Se", "Se"], "fractional_positions": [[0.0000, 0.0000, 0.0000], [0.2648, 0.2549, 0.5296], [0.7352, 0.7451, 0.4704], [0.1245, 0.8024, 0.2489], [0.8755, 0.1976, 0.7511], [0.3644, 0.7178, 0.7287], [0.6356, 0.2822, 0.2713]], "volume_a3_per_fu": 196.7, "e_above_lowest_polymorph_mev_per_atom": 6, "dos_ef_per_ev_cell": 2.8, "e_tot_ha_per_atom": -0.213, "raw_formation_energy_ev_per_atom": -1.83, "m_tot_mub_per_fu": 0.00}



No. 4
{"formula": "Cs2In10Sn", "functional": "PBE", "state": "relaxed", "lattice_angstrom": [[6.7711, 0.0000, 0.0000], [0.0000, 8.2977, 0.0000], [0.0000, 0.0000, 17.8039]], "species": ["Cs", "Cs", "Cs", "Cs", "In", "In", "In", "In", "In", "In", "In", "In", "In", "In", "In", "In", "In", "In", "In", "In", "In", "In", "In", "In", "Sn", "Sn"], "fractional_positions": [[0.5000, 0.1752, 0.8443], [0.5000, 0.8248, 0.1557], [0.5000, 0.6752, 0.6557], [0.5000, 0.3248, 0.3443], [0.0000, 0.1539, 0.4401], [0.0000, 0.8461, 0.5599], [0.0000, 0.6539, 0.0599], [0.0000, 0.3461, 0.9401], [0.0000, 0.0376, 0.6972], [0.0000, 0.9624, 0.3028], [0.2859, 0.3388, 0.0712], [0.2859, 0.6612, 0.9288], [0.7141, 0.8388, 0.4288], [0.7141, 0.1612, 0.5712], [0.7141, 0.6612, 0.9288], [0.7141, 0.3388, 0.0712], [0.2859, 0.1612, 0.5712], [0.2859, 0.8388, 0.4288], [0.0000, 0.1146, 0.1584], [0.0000, 0.8854, 0.8416], [0.0000, 0.6146, 0.3416], [0.0000, 0.3854, 0.6584], [0.0000, 0.4624, 0.1972], [0.0000, 0.5376, 0.8028], [0.0000, 0.5000, 0.5000], [0.0000, 0.0000, 0.0000]], "volume_a3_per_fu": 500.2, "delta_e_f_ev_per_fu": -0.24, "dos_ef_per_ev_cell": 12.1, "e_tot_ha_per_atom": -0.094, "m_tot_mub_per_fu": 0.00}



No. 5
{"formula": "YCd2Pt", "functional": "PBE", "state": "relaxed", "lattice_angstrom": [[3.4688, 0.0000, 0.0000], [0.0000, 3.4687, 0.0000], [0.0000, 0.0000, 7.3460]], "species": ["Cd", "Cd", "Pt", "Y"], "fractional_positions": [[0.0000, 0.0000, 0.0220], [0.5000, 0.5000, 0.2708], [0.0000, 0.0000, 0.4970], [0.5000, 0.5000, 0.7102]], "volume_a3_per_fu": 88.4, "delta_e_f_ev_per_fu": -2.15, "dos_ef_per_ev_cell": 1.7, "e_tot_ha_per_atom": -0.151, "m_tot_mub_per_fu": 0.00}



No. 6
{"formula": "Mg3SnHg3", "functional": "PBE", "state": "relaxed", "lattice_angstrom": [[7.6329, 0.0000, 0.0000], [0.0000, 7.6329, 0.0000], [0.0000, 0.0000, 7.6329]], "species": ["Mg", "Mg", "Mg", "Mg", "Mg", "Mg", "Hg", "Hg", "Hg", "Hg", "Hg", "Hg", "Sn", "Sn"], "fractional_positions": [[0.0000, 0.2500, 0.5000], [0.0000, 0.7500, 0.5000], [0.5000, 0.0000, 0.7500], [0.7500, 0.5000, 0.0000], [0.5000, 0.0000, 0.2500], [0.2500, 0.5000, 0.0000], [0.2500, 0.0000, 0.5000], [0.0000, 0.5000, 0.2500], [0.5000, 0.7500, 0.0000], [0.7500, 0.0000, 0.5000], [0.0000, 0.5000, 0.7500], [0.5000, 0.2500, 0.0000], [0.5000, 0.5000, 0.5000], [0.0000, 0.0000, 0.0000]], "volume_a3_per_fu": 222.4, "e_above_lowest_polymorph_mev_per_atom": 443, "delta_e_f_ev_per_fu": 2.07, "dos_ef_per_ev_cell": 6.4, "e_tot_ha_per_atom": -0.040, "m_tot_mub_per_fu": 0.00}



Question: Number 3 is which compound?
Answer: TbHo2Se4